# 1
LiAcCu2F8 after structural relaxation. Source: Alexandria via LeMat-Bulk, functional PBE.

Output
- Formation energy without anion corrections: -2549 meV per atom
- ρ: 5.15 g/cm³
- VASP energy: -4.98 eV/atom

a = 5.6112 Å, b = 5.6112 Å, c = 6.5830 Å
α = 115.23°, β = 115.23°, γ = 90.00°
With the nearest neighbours (Å) after each atom.
Fractional positions:
Cu1 0.5000 0.5000 0.0000  4 F 1.93
F1 0.0036 0.9257 0.6061  1 Cu 1.90
F2 0.7398 0.2898 0.9003  1 Cu 1.93
F3 0.7102 0.8396 0.0997  1 Cu 1.93
F4 0.6024 0.6804 0.6061  1 Cu 1.90
F5 0.0743 0.3976 0.3939  1 Cu 1.90
F6 0.3196 0.9964 0.3939  1 Cu 1.90
F7 0.1604 0.6104 0.9003  1 Cu 1.93
Cu2 0.2500 0.7500 0.5000  4 F 1.90
Li1 0.0000 0.0000 0.0000  8 F 2.30-2.45
F8 0.3896 0.2602 0.0997  1 Cu 1.93
Ac1 0.7500 0.2500 0.5000  8 F 2.46-2.57

# 2
Li4AcCu3F12 after structural relaxation. Source: Alexandria via LeMat-Bulk, functional PBE.

Output
- Formation energy without anion corrections: -2586 meV per atom
- ρ: 5.04 g/cm³
- VASP energy: -4.91 eV/atom

a = 6.6074 Å, b = 6.6074 Å, c = 6.6074 Å
α = 109.47°, β = 109.47°, γ = 109.47°
With the nearest neighbours (Å) after each atom.
Fractional positions:
F1 0.8695 0.6976 0.1719  1 Cu 2.00, 2 Li 2.04
Cu1 0.5000 0.5000 0.0000  4 F 2.00
F2 0.6976 0.8281 0.5257  1 Cu 2.00, 2 Li 2.04
F3 0.5257 0.6976 0.8281  1 Cu 2.00, 2 Li 2.04
Li1 0.5000 0.5000 0.5000  6 F 2.04
Li2 0.0000 0.0000 0.5000  6 F 2.04
Ac1 0.0000 0.0000 0.0000  12 F 2.65
F4 0.3024 0.1719 0.4743  1 Cu 2.00, 2 Li 2.04
F5 0.1719 0.8695 0.6976  1 Cu 2.00, 2 Li 2.04
Li3 0.5000 0.0000 0.0000  6 F 2.04
Cu2 0.0000 0.5000 0.5000  4 F 2.00
F6 0.8281 0.1305 0.3024  1 Cu 2.00, 2 Li 2.04
F7 0.8281 0.5257 0.6976  1 Cu 2.00, 2 Li 2.04
F8 0.3024 0.8281 0.1305  1 Cu 2.00, 2 Li 2.04
F9 0.6976 0.1719 0.8695  1 Cu 2.00, 2 Li 2.04
F10 0.1305 0.3024 0.8281  1 Cu 2.00, 2 Li 2.04
Cu3 0.5000 0.0000 0.5000  4 F 2.00
Li4 0.0000 0.5000 0.0000  6 F 2.04
F11 0.4743 0.3024 0.1719  1 Cu 2.00, 2 Li 2.04
F12 0.1719 0.4743 0.3024  1 Cu 2.00, 2 Li 2.04

# 3
AcMgCu2F8 after structural relaxation. Source: Alexandria via LeMat-Bulk, functional PBE.

Output
- Formation energy without anion corrections: -2634 meV per atom
- ρ: 4.25 g/cm³
- VASP energy: -5.04 eV/atom

a = 5.9465 Å, b = 5.9465 Å, c = 6.7627 Å
α = 90.00°, β = 90.00°, γ = 120.00°
With the nearest neighbours (Å) after each atom.
Fractional positions:
F1 0.3333 0.6667 0.4553  1 Cu 1.92
Ac1 0.0000 0.0000 0.5000  6 F 2.52
Cu1 0.3333 0.6667 0.7399  4 F 1.92-2.00
F2 0.8563 0.7127 0.1984  1 Mg 2.00, 1 Cu 2.00
F3 0.2873 0.1437 0.1984  1 Mg 2.00, 1 Cu 2.00
F4 0.7127 0.8563 0.8016  1 Mg 2.00, 1 Cu 2.00
Mg1 0.0000 0.0000 0.0000  6 F 2.00
Cu2 0.6667 0.3333 0.2601  4 F 1.92-2.00
F5 0.1437 0.2873 0.8016  1 Mg 2.00, 1 Cu 2.00
F6 0.1437 0.8563 0.8016  1 Mg 2.00, 1 Cu 2.00
F7 0.6667 0.3333 0.5447  1 Cu 1.92
F8 0.8563 0.1437 0.1984  1 Mg 2.00, 1 Cu 2.00

# 4
Na2AcCuF8 after structural relaxation. Source: Alexandria via LeMat-Bulk, functional PBE.

Output
- Formation energy without anion corrections: -2756 meV per atom
- ρ: 4.40 g/cm³
- VASP energy: -4.91 eV/atom

a = 4.1137 Å, b = 5.4023 Å, c = 8.3293 Å
α = 93.14°, β = 89.27°, γ = 94.15°
With the nearest neighbours (Å) after each atom.
Fractional positions:
F1 0.3389 0.2275 0.9841  1 Cu 1.80
F2 0.9082 0.1467 0.1910  1 Cu 1.79
F3 0.5087 0.2296 0.4320  1 Na 2.27, 2 Ac 2.43-2.53
F4 0.0463 0.6701 0.2958  2 Na 2.32-2.34, 1 Ac 2.41
Na1 0.4720 0.5096 0.7737  6 F 2.27-2.52
Ac1 0.0000 0.0000 0.5000  6 F 2.41-2.53
Cu1 0.0000 0.0000 0.0000  4 F 1.79-1.80
F5 0.6611 0.7725 0.0159  1 Cu 1.80
Na2 0.5280 0.4904 0.2263  6 F 2.27-2.52
F6 0.9537 0.3299 0.7042  2 Na 2.32-2.34, 1 Ac 2.41
F7 0.4913 0.7704 0.5680  1 Na 2.27, 2 Ac 2.43-2.53
F8 0.0918 0.8533 0.8090  1 Cu 1.79

# 5
NaAcCu2F8 after structural relaxation. Source: Alexandria via LeMat-Bulk, functional PBE.

Output
- Formation energy without anion corrections: -2572 meV per atom
- ρ: 5.02 g/cm³
- VASP energy: -4.95 eV/atom

a = 5.7096 Å, b = 5.7096 Å, c = 6.7197 Å
α = 115.14°, β = 115.14°, γ = 90.00°
With the nearest neighbours (Å) after each atom.
Fractional positions:
F1 0.5934 0.6698 0.6005  1 Cu 1.91
F2 0.3302 0.9928 0.3995  1 Cu 1.91
Cu1 0.2500 0.7500 0.5000  4 F 1.91
F3 0.7370 0.3087 0.8950  1 Cu 1.92
Na1 0.0000 0.0000 0.0000  8 F 2.45-2.56
F4 0.0072 0.9308 0.6005  1 Cu 1.91
F5 0.6913 0.8421 0.1050  1 Cu 1.92
F6 0.4138 0.2630 0.1050  1 Cu 1.92
F7 0.0692 0.4066 0.3995  1 Cu 1.91
Ac1 0.7500 0.2500 0.5000  8 F 2.48-2.56
F8 0.1579 0.5862 0.8950  1 Cu 1.92
Cu2 0.5000 0.5000 0.0000  4 F 1.92

# 6
Na4AcCu3F12 after structural relaxation. Source: Alexandria via LeMat-Bulk, functional PBE.

Output
- Formation energy without anion corrections: -2458 meV per atom
- ρ: 4.62 g/cm³
- VASP energy: -4.66 eV/atom

a = 7.0090 Å, b = 7.0090 Å, c = 7.0090 Å
α = 109.47°, β = 109.47°, γ = 109.47°
With the nearest neighbours (Å) after each atom.
Fractional positions:
F1 0.8476 0.6945 0.1532  1 Cu 2.00, 2 Na 2.22
F2 0.5413 0.6945 0.8468  1 Cu 2.00, 2 Na 2.22
F3 0.8468 0.5413 0.6945  1 Cu 2.00, 2 Na 2.22
Na1 0.5000 0.5000 0.5000  6 F 2.22
F4 0.6945 0.8468 0.5413  1 Cu 2.00, 2 Na 2.22
F5 0.6945 0.1532 0.8476  1 Cu 2.00, 2 Na 2.22
Cu1 0.0000 0.5000 0.5000  4 F 2.00
F6 0.3055 0.1532 0.4587  1 Cu 2.00, 2 Na 2.22
Cu2 0.5000 0.0000 0.5000  4 F 2.00
Na2 0.0000 0.0000 0.5000  6 F 2.22
F7 0.8468 0.1524 0.3055  1 Cu 2.00, 2 Na 2.22
Cu3 0.5000 0.5000 0.0000  4 F 2.00
F8 0.4587 0.3055 0.1532  1 Cu 2.00, 2 Na 2.22
F9 0.1532 0.8476 0.6945  1 Cu 2.00, 2 Na 2.22
Na3 0.5000 0.0000 0.0000  6 F 2.22
F10 0.3055 0.8468 0.1524  1 Cu 2.00, 2 Na 2.22
F11 0.1524 0.3055 0.8468  1 Cu 2.00, 2 Na 2.22
Ac1 0.0000 0.0000 0.0000  12 F 2.77
F12 0.1532 0.4587 0.3055  1 Cu 2.00, 2 Na 2.22
Na4 0.0000 0.5000 0.0000  6 F 2.22

# 7
Ac2CuO4F after structural relaxation. Source: Alexandria via LeMat-Bulk, functional PBE.

Output
- Formation energy without anion corrections: -2425 meV per atom
- ρ: 8.15 g/cm³
- VASP energy: -6.68 eV/atom

a = 3.7122 Å, b = 4.7732 Å, c = 7.8476 Å
α = 75.30°, β = 76.32°, γ = 67.12°
With the nearest neighbours (Å) after each atom.
Fractional positions:
F1 0.5000 0.5000 0.5000  4 Ac 2.73
Ac1 0.1810 0.3798 0.2583  6 O 2.47-2.73, 2 F 2.73
O1 0.1274 0.9966 0.7486  1 Cu 1.92
Ac2 0.8190 0.6202 0.7417  6 O 2.47-2.73, 2 F 2.73
O2 0.3748 0.3061 0.9443  2 Cu 2.29, 1 Ac 2.47
O3 0.8726 0.0034 0.2514  1 Cu 1.92
Cu1 0.0000 0.0000 0.0000  2 O 1.92
O4 0.6252 0.6939 0.0557  2 Cu 2.29, 1 Ac 2.47

# 8
AcCuO2F after structural relaxation. Source: Alexandria via LeMat-Bulk, functional PBE.

Output
- Formation energy without anion corrections: -2274 meV per atom
- ρ: 8.65 g/cm³
- VASP energy: -6.27 eV/atom

a = 5.7213 Å, b = 5.7213 Å, c = 5.7213 Å
α = 120.63°, β = 120.63°, γ = 88.91°
With the nearest neighbours (Å) after each atom.
Fractional positions:
F1 0.2500 0.2500 0.0000  2 Cu 2.04
Cu1 0.0000 0.0000 0.0000  4 O 2.04, 2 F 2.04
O1 0.2961 0.7961 0.0921  2 Cu 2.04
O2 0.2039 0.2961 0.5000  2 Cu 2.04
F2 0.7500 0.7500 0.0000  2 Cu 2.04
Ac1 0.7500 0.2500 0.5000  4 O 2.62, 4 F 2.83
Cu2 0.5000 0.5000 0.0000  4 O 2.04, 2 F 2.04
Ac2 0.2500 0.7500 0.5000  4 O 2.62, 4 F 2.83
O3 0.7961 0.7039 0.5000  2 Cu 2.04
O4 0.7039 0.2039 0.9079  2 Cu 2.04

> Look up the ρ of the fourth one.

4.40 g/cm³

> Among the records above, which one has the highest formation energy without anion corrections?

AcCuO2F

> Which of these has the highest formation energy without anion corrections?

AcCuO2F

Please write out number 4 again, unchanged.
Na2AcCuF8 after structural relaxation. Source: Alexandria via LeMat-Bulk, functional PBE.

Output
- Formation energy without anion corrections: -2756 meV per atom
- ρ: 4.40 g/cm³
- VASP energy: -4.91 eV/atom

a = 4.1137 Å, b = 5.4023 Å, c = 8.3293 Å
α = 93.14°, β = 89.27°, γ = 94.15°
With the nearest neighbours (Å) after each atom.
Fractional positions:
F1 0.3389 0.2275 0.9841  1 Cu 1.80
F2 0.9082 0.1467 0.1910  1 Cu 1.79
F3 0.5087 0.2296 0.4320  1 Na 2.27, 2 Ac 2.43-2.53
F4 0.0463 0.6701 0.2958  2 Na 2.32-2.34, 1 Ac 2.41
Na1 0.4720 0.5096 0.7737  6 F 2.27-2.52
Ac1 0.0000 0.0000 0.5000  6 F 2.41-2.53
Cu1 0.0000 0.0000 0.0000  4 F 1.79-1.80
F5 0.6611 0.7725 0.0159  1 Cu 1.80
Na2 0.5280 0.4904 0.2263  6 F 2.27-2.52
F6 0.9537 0.3299 0.7042  2 Na 2.32-2.34, 1 Ac 2.41
F7 0.4913 0.7704 0.5680  1 Na 2.27, 2 Ac 2.43-2.53
F8 0.0918 0.8533 0.8090  1 Cu 1.79